[1]
BaLiCu2, relaxed, DFT PBE; total magnetic moment = 0.0 μB/f.u.
1.0
-4.9871 -1.5214 0.0090
-3.0472 1.0781 4.0913
-3.8053 3.5368 -0.4438
Cu Ba Li
2 1 1
Direct
0.2500 0.2500 0.2500
0.7500 0.7500 0.7500
0.5000 0.5000 0.5000
0.0000 0.0000 0.0000

---

[2]
Ba2Li2Cu, relaxed, DFT PBE; total magnetic moment = 0.0 μB/f.u.
1.0
-2.3945 -1.4743 2.8952
-0.8988 -3.1556 -2.3503
6.2646 -7.4820 4.1844
Ba Li Cu
2 2 1
Direct
0.4077 0.4077 0.1847
0.5923 0.5923 0.8153
0.7500 0.2500 0.5000
0.2500 0.7500 0.5000
0.0000 0.0000 0.0000

---

| no. | D(E_F) (states/eV per atom) | DFT total energy (eV/atom) |
| --- | --- | --- |
| 1 | 0.4043 | -2.801 |
| 2 | 0.6317 | -2.281 |